# Ca2LaHoTl4, relaxed, DFT PBE
data_Ca2LaHoTl4
_chemical_formula_sum 'Ca2 La1 Ho1 Tl4'
_symmetry_space_group_name_H-M 'P 1'
_symmetry_Int_Tables_number 1
_symmetry_space_group_name_Hall 'P 1'
_cell_length_a 5.4912
_cell_length_b 5.4912
_cell_length_c 9.5614
_cell_angle_alpha 73.31
_cell_angle_beta 73.31
_cell_angle_gamma 60.00
loop_
_atom_site_label
_atom_site_fract_x
_atom_site_fract_y
_atom_site_fract_z
_atom_site_occupancy
Ho1 0.5000 0.5000 0.5000 1
La1 0.0000 0.0000 0.0000 1
Tl1 0.1271 0.1271 0.6187 1
Tl2 0.3782 0.3782 0.8653 1
Tl3 0.8729 0.8729 0.3813 1
Ca1 0.2489 0.2489 0.2533 1
Tl4 0.6218 0.6218 0.1347 1
Ca2 0.7511 0.7511 0.7467 1
# Energy, eV per formula unit: -26.11
# Formation enthalpy at 0 K, eV per atom: -0.392

---

# CaLaHoTm, relaxed, DFT PBE
data_CaLaHoTm
_chemical_formula_sum 'Ca1 La1 Ho1 Tm1'
_symmetry_space_group_name_H-M 'P 1'
_symmetry_Int_Tables_number 1
_symmetry_space_group_name_Hall 'P 1'
_cell_length_a 5.8027
_cell_length_b 5.8027
_cell_length_c 5.8027
_cell_angle_alpha 60.00
_cell_angle_beta 60.00
_cell_angle_gamma 60.00
loop_
_atom_site_label
_atom_site_fract_x
_atom_site_fract_y
_atom_site_fract_z
_atom_site_occupancy
Ho1 0.2500 0.2500 0.2500 1
La1 0.7500 0.7500 0.7500 1
Ca1 0.0000 0.0000 0.0000 1
Tm1 0.5000 0.5000 0.5000 1
# Energy, eV per formula unit: -15.45
# Formation enthalpy at 0 K, eV per atom: 0.132

---

# CaLa3Y6Ho2, relaxed, DFT PBE
data_CaLa3Y6Ho2
_chemical_formula_sum 'Ca1 La3 Y6 Ho2'
_symmetry_space_group_name_H-M 'P 1'
_symmetry_Int_Tables_number 1
_symmetry_space_group_name_Hall 'P 1'
_cell_length_a 6.3060
_cell_length_b 6.3060
_cell_length_c 11.9750
_cell_angle_alpha 95.03
_cell_angle_beta 95.03
_cell_angle_gamma 120.02
loop_
_atom_site_label
_atom_site_fract_x
_atom_site_fract_y
_atom_site_fract_z
_atom_site_occupancy
Ho1 0.3334 0.6666 0.0000 1
Ho2 0.6666 0.3334 0.0000 1
La1 0.5000 0.5000 0.5000 1
La2 0.8344 0.1656 0.5000 1
Y1 0.7440 0.7440 0.2476 1
Y2 0.0827 0.4216 0.2478 1
Y3 0.4216 0.0827 0.2478 1
Y4 0.9173 0.5784 0.7522 1
Ca1 0.0000 0.0000 0.0000 1
Y5 0.5784 0.9173 0.7522 1
Y6 0.2560 0.2560 0.7524 1
La3 0.1656 0.8344 0.5000 1
# Energy, eV per formula unit: -64.06
# Formation enthalpy at 0 K, eV per atom: 0.055

---

# Li2Ca2HoMg5, relaxed, DFT PBE
data_Li2Ca2HoMg5
_chemical_formula_sum 'Li4 Ca4 Ho2 Mg10'
_symmetry_space_group_name_H-M 'P 1'
_symmetry_Int_Tables_number 1
_symmetry_space_group_name_Hall 'P 1'
_cell_length_a 4.3314
_cell_length_b 11.0081
_cell_length_c 11.0081
_cell_angle_alpha 90.00
_cell_angle_beta 90.00
_cell_angle_gamma 90.00
loop_
_atom_site_label
_atom_site_fract_x
_atom_site_fract_y
_atom_site_fract_z
_atom_site_occupancy
Mg1 0.5000 0.5000 0.0000 1
Ho1 0.0000 0.0000 0.0000 1
Ca1 0.0000 0.8188 0.6812 1
Mg2 0.5000 0.2875 0.5597 1
Li1 0.0000 0.3837 0.1163 1
Ho2 0.0000 0.5000 0.5000 1
Li2 0.0000 0.6163 0.8837 1
Mg3 0.5000 0.7125 0.4403 1
Mg4 0.5000 0.5597 0.7125 1
Li3 0.0000 0.8837 0.3837 1
Mg5 0.5000 0.7875 0.9403 1
Ca2 0.0000 0.6812 0.1812 1
Mg6 0.5000 0.0597 0.7875 1
Mg7 0.5000 0.0000 0.5000 1
Li4 0.0000 0.1163 0.6163 1
Mg8 0.5000 0.9403 0.2125 1
Mg9 0.5000 0.4403 0.2875 1
Ca3 0.0000 0.3188 0.8188 1
Ca4 0.0000 0.1812 0.3188 1
Mg10 0.5000 0.2125 0.0597 1
# Energy, eV per formula unit: -20.82
# Formation enthalpy at 0 K, eV per atom: -0.044

---

# LiCaHoMg, relaxed, DFT PBE
data_LiCaHoMg
_chemical_formula_sum 'Li1 Ca1 Ho1 Mg1'
_symmetry_space_group_name_H-M 'P 1'
_symmetry_Int_Tables_number 1
_symmetry_space_group_name_Hall 'P 1'
_cell_length_a 5.4347
_cell_length_b 5.4347
_cell_length_c 5.4347
_cell_angle_alpha 60.00
_cell_angle_beta 60.00
_cell_angle_gamma 60.00
loop_
_atom_site_label
_atom_site_fract_x
_atom_site_fract_y
_atom_site_fract_z
_atom_site_occupancy
Ho1 0.5000 0.5000 0.5000 1
Li1 0.2500 0.2500 0.2500 1
Mg1 0.7500 0.7500 0.7500 1
Ca1 0.0000 0.0000 0.0000 1
# Energy, eV per formula unit: -9.88
# Formation enthalpy at 0 K, eV per atom: 0.051

---

# LiCaNdHo, relaxed, DFT PBE
data_LiCaNdHo
_chemical_formula_sum 'Li1 Ca1 Nd1 Ho1'
_symmetry_space_group_name_H-M 'P 1'
_symmetry_Int_Tables_number 1
_symmetry_space_group_name_Hall 'P 1'
_cell_length_a 5.6655
_cell_length_b 5.6655
_cell_length_c 5.6655
_cell_angle_alpha 60.00
_cell_angle_beta 60.00
_cell_angle_gamma 60.00
loop_
_atom_site_label
_atom_site_fract_x
_atom_site_fract_y
_atom_site_fract_z
_atom_site_occupancy
Ca1 0.2500 0.2500 0.2500 1
Li1 0.0000 0.0000 0.0000 1
Nd1 0.7500 0.7500 0.7500 1
Ho1 0.5000 0.5000 0.5000 1
# Energy, eV per formula unit: -12.42
# Formation enthalpy at 0 K, eV per atom: 0.209

---

# LiCaHoNi, relaxed, DFT PBE
data_LiCaHoNi
_chemical_formula_sum 'Li1 Ca1 Ho1 Ni1'
_symmetry_space_group_name_H-M 'P 1'
_symmetry_Int_Tables_number 1
_symmetry_space_group_name_Hall 'P 1'
_cell_length_a 4.9622
_cell_length_b 4.9622
_cell_length_c 4.9622
_cell_angle_alpha 60.00
_cell_angle_beta 60.00
_cell_angle_gamma 60.00
loop_
_atom_site_label
_atom_site_fract_x
_atom_site_fract_y
_atom_site_fract_z
_atom_site_occupancy
Ni1 0.2500 0.2500 0.2500 1
Ho1 0.0000 0.0000 0.0000 1
Li1 0.7500 0.7500 0.7500 1
Ca1 0.5000 0.5000 0.5000 1
# Energy, eV per formula unit: -14.40
# Formation enthalpy at 0 K, eV per atom: -0.031

---

# LiCa2HoO4, relaxed, DFT PBE
data_LiCa2HoO4
_chemical_formula_sum 'Li1 Ca2 Ho1 O4'
_symmetry_space_group_name_H-M 'P 1'
_symmetry_Int_Tables_number 1
_symmetry_space_group_name_Hall 'P 1'
_cell_length_a 3.3903
_cell_length_b 5.6931
_cell_length_c 5.7739
_cell_angle_alpha 108.12
_cell_angle_beta 90.00
_cell_angle_gamma 90.00
loop_
_atom_site_label
_atom_site_fract_x
_atom_site_fract_y
_atom_site_fract_z
_atom_site_occupancy
O1 0.0000 0.2604 0.7659 1
Ca1 0.5000 0.0000 0.5000 1
O2 0.5000 0.7359 0.7483 1
Ho1 0.5000 0.5000 0.0000 1
Li1 0.0000 0.0000 0.0000 1
O3 0.5000 0.2641 0.2517 1
O4 0.0000 0.7396 0.2341 1
Ca2 0.0000 0.5000 0.5000 1
# E_form (uncorrected), eV per atom: -2.89
# Energy, eV per formula unit: -53.44

---

# LiCaHoPb, relaxed, DFT PBE
data_LiCaHoPb
_chemical_formula_sum 'Li1 Ca1 Ho1 Pb1'
_symmetry_space_group_name_H-M 'P 1'
_symmetry_Int_Tables_number 1
_symmetry_space_group_name_Hall 'P 1'
_cell_length_a 5.3595
_cell_length_b 5.3595
_cell_length_c 5.3595
_cell_angle_alpha 60.00
_cell_angle_beta 60.00
_cell_angle_gamma 60.00
loop_
_atom_site_label
_atom_site_fract_x
_atom_site_fract_y
_atom_site_fract_z
_atom_site_occupancy
Ca1 0.2500 0.2500 0.2500 1
Pb1 0.5000 0.5000 0.5000 1
Ho1 0.7500 0.7500 0.7500 1
Li1 0.0000 0.0000 0.0000 1
# Energy, eV per formula unit: -13.37
# Formation enthalpy at 0 K, eV per atom: -0.291

---

# Li2CaHo2Pb2, relaxed, DFT PBE
data_Li2CaHo2Pb2
_chemical_formula_sum 'Li2 Ca1 Ho2 Pb2'
_symmetry_space_group_name_H-M 'P 1'
_symmetry_Int_Tables_number 1
_symmetry_space_group_name_Hall 'P 1'
_cell_length_a 4.8651
_cell_length_b 4.8651
_cell_length_c 9.5658
_cell_angle_alpha 75.27
_cell_angle_beta 75.27
_cell_angle_gamma 60.00
loop_
_atom_site_label
_atom_site_fract_x
_atom_site_fract_y
_atom_site_fract_z
_atom_site_occupancy
Pb1 0.7424 0.7424 0.7728 1
Ho1 0.8698 0.8698 0.3906 1
Li1 0.5898 0.5898 0.2307 1
Pb2 0.2576 0.2576 0.2272 1
Li2 0.4102 0.4102 0.7693 1
Ca1 0.0000 0.0000 0.0000 1
Ho2 0.1302 0.1302 0.6094 1
# Energy, eV per formula unit: -24.73
# Formation enthalpy at 0 K, eV per atom: -0.333

---

# Li2Ca2HoPb2, relaxed, DFT PBE
data_Li2Ca2HoPb2
_chemical_formula_sum 'Li2 Ca2 Ho1 Pb2'
_symmetry_space_group_name_H-M 'P 1'
_symmetry_Int_Tables_number 1
_symmetry_space_group_name_Hall 'P 1'
_cell_length_a 4.8766
_cell_length_b 4.8766
_cell_length_c 9.6901
_cell_angle_alpha 75.43
_cell_angle_beta 75.43
_cell_angle_gamma 60.00
loop_
_atom_site_label
_atom_site_fract_x
_atom_site_fract_y
_atom_site_fract_z
_atom_site_occupancy
Pb1 0.7330 0.7330 0.8011 1
Ca1 0.1270 0.1270 0.6189 1
Ca2 0.8730 0.8730 0.3811 1
Li1 0.6066 0.6066 0.1802 1
Li2 0.3934 0.3934 0.8198 1
Pb2 0.2670 0.2670 0.1989 1
Ho1 0.0000 0.0000 0.0000 1
# Energy, eV per formula unit: -22.51
# Formation enthalpy at 0 K, eV per atom: -0.383

---

# LiCaHoPd, relaxed, DFT PBE
data_LiCaHoPd
_chemical_formula_sum 'Li1 Ca1 Ho1 Pd1'
_symmetry_space_group_name_H-M 'P 1'
_symmetry_Int_Tables_number 1
_symmetry_space_group_name_Hall 'P 1'
_cell_length_a 5.0526
_cell_length_b 5.0526
_cell_length_c 5.0526
_cell_angle_alpha 60.00
_cell_angle_beta 60.00
_cell_angle_gamma 60.00
loop_
_atom_site_label
_atom_site_fract_x
_atom_site_fract_y
_atom_site_fract_z
_atom_site_occupancy
Li1 0.2500 0.2500 0.2500 1
Ho1 0.5000 0.5000 0.5000 1
Pd1 0.7500 0.7500 0.7500 1
Ca1 0.0000 0.0000 0.0000 1
# Energy, eV per formula unit: -15.11
# Formation enthalpy at 0 K, eV per atom: -0.355

---

Which magnetic moment belongs to each record? In order, 0.00 0.00 0.00 0.00 0.00 0.00 0.00 0.00 0.00 0.00 0.86 0.00 μB per cell.